No. 1
A plane-wave DFT calculation with GGA-PBE was carried out for a geometry-optimized NbAsRuBr2 structure.

E_form (uncorrected) ... 1.030 eV per atom
Energy above the lowest structure with this stoichiometry ... 156 meV per atom
DOS(E_F) ... 7.0 states/eV per cell

Cell and atoms, written as POSCAR:
```
NbAsRuBr2
1.0
5.018 0.000 0.000
0.000 5.018 0.000
0.000 0.000 4.700
Nb As Ru Br
1 1 1 2
Direct
0.000 0.000 0.000
0.500 0.500 0.000
0.500 0.500 0.500
0.000 0.500 0.500
0.500 0.000 0.500
```


No. 2
A plane-wave DFT calculation with GGA-PBE was carried out for a geometry-optimized ZrV2GaC structure.

Energy of formation from the pure elements ... -1.8 eV/f.u.
DOS(E_F) ... 4.2 states/eV per cell

Cell and atoms, written as POSCAR:
```
ZrV2GaC
1.0
4.001 0.000 0.000
0.000 4.001 0.000
0.000 0.000 4.543
Zr V Ga C
1 2 1 1
Direct
0.000 0.000 0.000
0.000 0.500 0.500
0.500 0.000 0.500
0.500 0.500 0.000
0.000 0.000 0.500
```


No. 3
A plane-wave DFT calculation with GGA-PBE was carried out for a geometry-optimized KLaSeO structure.

E_form (uncorrected) ... -2.150 eV per atom
DOS(E_F) ... 0.0 states/eV per cell

Cell and atoms, written as POSCAR:
```
KLaSeO
1.0
2.014 1.163 7.186
-2.014 1.163 7.186
0.000 -2.325 7.186
K La Se O
1 1 1 1
Direct
0.000 0.000 0.000
0.520 0.520 0.520
0.765 0.765 0.765
0.229 0.229 0.229
```


No. 4
A plane-wave DFT calculation with GGA-PBE was carried out for a geometry-optimized LuPuNiHg structure.

Energy of formation from the pure elements ... -0.5 eV/f.u.
DOS(E_F) ... 11.0 states/eV per cell

Cell and atoms, written as POSCAR:
```
LuPuNiHg
1.0
0.000 3.555 3.555
3.555 0.000 3.555
3.555 3.555 0.000
Lu Pu Ni Hg
1 1 1 1
Direct
0.000 0.000 0.000
0.500 0.500 0.500
0.250 0.250 0.250
0.750 0.750 0.750
```


No. 5
A plane-wave DFT calculation with GGA-PBE was carried out for a geometry-optimized ZnTcMo2N structure.

E_form (uncorrected) ... -0.046 eV per atom
DOS(E_F) ... 3.5 states/eV per cell

Cell and atoms, written as POSCAR:
```
ZnTcMo2N
1.0
4.095 0.000 0.000
0.000 4.095 0.000
0.000 0.000 4.068
Zn Tc Mo N
1 1 2 1
Direct
0.000 0.000 0.000
0.500 0.500 0.000
0.000 0.500 0.500
0.500 0.000 0.500
0.500 0.500 0.500
```


No. 6
A plane-wave DFT calculation with GGA-PBE was carried out for a geometry-optimized Ba2CuRhN structure.

E_form (uncorrected) ... -0.299 eV per atom
DOS(E_F) ... 2.3 states/eV per cell

Cell and atoms, written as POSCAR:
```
Ba2CuRhN
1.0
5.744 0.000 0.000
0.000 5.744 0.000
0.000 0.000 3.839
Ba Cu Rh N
2 1 1 1
Direct
0.000 0.500 0.000
0.500 0.000 0.000
0.000 0.000 0.500
0.500 0.500 0.500
0.500 0.500 0.000
```


No. 7
A plane-wave DFT calculation with GGA-PBE was carried out for a geometry-optimized InTe3Cl structure.

E_form (uncorrected) ... 0.478 eV per atom
DOS(E_F) ... 8.8 states/eV per cell

Cell and atoms, written as POSCAR:
```
InTe3Cl
1.0
5.676 0.000 0.000
0.000 5.676 0.000
0.000 0.000 5.676
In Te Cl
1 3 1
Direct
0.000 0.000 0.000
0.000 0.000 0.500
0.000 0.500 0.000
0.500 0.000 0.000
0.500 0.500 0.500
```


No. 8
A plane-wave DFT calculation with GGA-PBE was carried out for a geometry-optimized Mg2TaAu structure.

Energy above the lowest structure with this stoichiometry ... 176 meV per atom
Energy of formation from the pure elements ... 0.3 eV/f.u.
DOS(E_F) ... 3.3 states/eV per cell

Cell and atoms, written as POSCAR:
```
Mg2TaAu
1.0
5.606 -1.482 0.000
5.606 1.482 0.000
-2.256 0.000 4.536
Mg Ta Au
2 1 1
Direct
0.232 0.232 0.233
0.768 0.768 0.767
0.000 0.000 0.500
0.500 0.500 0.000
```


No. 9
A plane-wave DFT calculation with GGA-PBE was carried out for a geometry-optimized P3Pb structure.

Energy of formation from the pure elements ... 2.3 eV/f.u.
DOS(E_F) ... 2.0 states/eV per cell

Cell and atoms, written as POSCAR:
```
P3Pb
1.0
1.912 -2.622 0.000
1.912 2.622 0.000
0.000 0.000 7.789
P Pb
3 1
Direct
0.000 0.000 0.000
0.500 0.500 0.177
0.500 0.500 0.823
0.000 0.000 0.500
```


No. 10
A plane-wave DFT calculation with GGA-PBE was carried out for a geometry-optimized Au5C7 structure.

Energy of formation from the pure elements ... 13.7 eV/f.u.
DOS(E_F) ... 5.6 states/eV per cell

Cell and atoms, written as POSCAR:
```
Au5C7
1.0
-4.133 4.133 2.292
4.133 -4.133 2.292
4.133 4.133 -2.292
Au C
5 7
Direct
0.000 0.000 0.000
0.390 0.390 0.631
0.390 0.759 0.000
0.759 0.390 0.000
0.759 0.759 0.369
0.201 0.576 0.625
0.325 0.825 0.500
0.438 0.438 0.000
0.576 0.201 0.625
0.576 0.951 0.375
0.825 0.325 0.500
0.951 0.576 0.375
```


No. 11
A plane-wave DFT calculation with GGA-PBE was carried out for a geometry-optimized YMoAu2 structure.

Energy above the lowest structure with this stoichiometry ... 138 meV per atom
Energy of formation from the pure elements ... 0.2 eV/f.u.
DOS(E_F) ... 3.8 states/eV per cell

Cell and atoms, written as POSCAR:
```
YMoAu2
1.0
3.065 0.000 0.000
0.000 3.065 0.000
0.000 0.000 8.402
Y Mo Au
1 1 2
Direct
0.000 0.000 0.000
0.500 0.500 0.725
0.000 0.000 0.511
0.500 0.500 0.262
```


No. 12
A plane-wave DFT calculation with GGA-PBE was carried out for a geometry-optimized Th4NiPS2 structure.

E_form (uncorrected) ... -1.372 eV per atom
DOS(E_F) ... 6.5 states/eV per cell

Cell and atoms, written as POSCAR:
```
Th4NiPS2
1.0
7.081 0.000 0.000
0.000 4.038 0.000
-2.373 0.000 6.784
Th Ni P S
4 1 1 2
Direct
0.238 0.000 0.240
0.247 0.500 0.749
0.753 0.500 0.251
0.762 0.000 0.760
0.000 0.500 0.000
0.000 0.000 0.500
0.500 0.000 0.000
0.500 0.500 0.500
```


No. 13
A plane-wave DFT calculation with GGA-PBE was carried out for a geometry-optimized Tb2BeRh structure.

Energy above the lowest structure with this stoichiometry ... 0 meV per atom
Energy of formation from the pure elements ... -1.4 eV/f.u.
DOS(E_F) ... 2.7 states/eV per cell

Cell and atoms, written as POSCAR:
```
Tb2BeRh
1.0
4.811 0.000 0.000
0.000 4.811 0.000
0.000 0.000 3.507
Tb Be Rh
2 1 1
Direct
0.000 0.500 0.000
0.500 0.000 0.000
0.000 0.000 0.500
0.500 0.500 0.500
```


No. 14
A plane-wave DFT calculation with GGA-PBE was carried out for a geometry-optimized Y3Ge13Os4 structure.

Energy of formation from the pure elements ... -6.9 eV/f.u.
DOS(E_F) ... 16.0 states/eV per cell

Cell and atoms, written as POSCAR:
```
Y3Ge13Os4
1.0
9.083 0.000 0.000
0.000 9.083 0.000
0.000 0.000 9.083
Y Ge Os
6 26 8
Direct
0.000 0.250 0.500
0.000 0.750 0.500
0.250 0.500 0.000
0.500 0.000 0.250
0.500 0.000 0.750
0.750 0.500 0.000
0.000 0.000 0.000
0.000 0.297 0.145
0.000 0.297 0.855
0.000 0.703 0.145
0.000 0.703 0.855
0.145 0.000 0.297
0.145 0.000 0.703
0.203 0.500 0.355
0.203 0.500 0.645
0.297 0.145 0.000
0.297 0.855 0.000
0.355 0.203 0.500
0.355 0.797 0.500
0.500 0.355 0.203
0.500 0.355 0.797
0.500 0.500 0.500
0.500 0.645 0.203
0.500 0.645 0.797
0.645 0.203 0.500
0.645 0.797 0.500
0.703 0.145 0.000
0.703 0.855 0.000
0.797 0.500 0.355
0.797 0.500 0.645
0.855 0.000 0.297
0.855 0.000 0.703
0.250 0.250 0.250
0.250 0.250 0.750
0.250 0.750 0.250
0.250 0.750 0.750
0.750 0.250 0.250
0.750 0.250 0.750
0.750 0.750 0.250
0.750 0.750 0.750
```


No. 15
A plane-wave DFT calculation with GGA-PBE was carried out for a geometry-optimized Se2N2Cl structure.

E_form (uncorrected) ... 1.887 eV per atom
Energy above the lowest structure with this stoichiometry ... 1507 meV per atom
DOS(E_F) ... 3.6 states/eV per cell

Cell and atoms, written as POSCAR:
```
Se2N2Cl
1.0
4.373 0.000 0.000
0.000 4.373 0.000
0.000 0.000 4.142
Se N Cl
2 2 1
Direct
0.000 0.500 0.000
0.500 0.000 0.000
0.000 0.000 0.000
0.000 0.000 0.500
0.500 0.500 0.500
```


No. 16
A plane-wave DFT calculation with GGA-PBE was carried out for a geometry-optimized TlCoCl2 structure.

E_form (uncorrected) ... -0.382 eV per atom
Energy above the lowest structure with this stoichiometry ... 63 meV per atom
DOS(E_F) ... 4.2 states/eV per cell

Cell and atoms, written as POSCAR:
```
TlCoCl2
1.0
5.091 0.000 0.000
0.000 3.724 0.000
-2.539 0.000 5.866
Tl Co Cl
1 1 2
Direct
0.000 0.000 0.000
0.597 0.500 0.191
0.409 0.500 0.818
0.700 0.000 0.401
```


No. 17
A plane-wave DFT calculation with GGA-PBE was carried out for a geometry-optimized CaLa2Tl structure.

Energy above the lowest structure with this stoichiometry ... 10 meV per atom
Energy of formation from the pure elements ... -0.8 eV/f.u.
DOS(E_F) ... 4.3 states/eV per cell

Cell and atoms, written as POSCAR:
```
CaLa2Tl
1.0
3.800 0.000 0.000
0.000 3.800 0.000
0.000 0.000 9.587
Ca La Tl
1 2 1
Direct
0.000 0.000 0.000
0.000 0.000 0.567
0.500 0.500 0.297
0.500 0.500 0.793
```


No. 18
A plane-wave DFT calculation with GGA-PBE was carried out for a geometry-optimized NaTbC structure.

Energy of formation from the pure elements ... 0.9 eV/f.u.
DOS(E_F) ... 0.0 states/eV per cell

Cell and atoms, written as POSCAR:
```
NaTbC
1.0
2.175 1.256 7.185
-2.175 1.256 7.185
0.000 -2.512 7.185
Na Tb C
2 2 2
Direct
0.136 0.136 0.136
0.864 0.864 0.864
0.382 0.382 0.382
0.618 0.618 0.618
0.268 0.268 0.268
0.732 0.732 0.732
```


No. 19
A plane-wave DFT calculation with GGA-PBE was carried out for a geometry-optimized Dy3Al4 structure.

Energy above the lowest structure with this stoichiometry ... 33 meV per atom
Energy of formation from the pure elements ... -2.8 eV/f.u.
DOS(E_F) ... 12.1 states/eV per cell

Cell and atoms, written as POSCAR:
```
Dy3Al4
1.0
2.080 -5.561 0.000
2.080 5.561 0.000
0.000 0.000 14.208
Dy Al
6 8
Direct
0.006 0.994 0.750
0.294 0.706 0.100
0.294 0.706 0.400
0.706 0.294 0.600
0.706 0.294 0.900
0.994 0.006 0.250
0.000 0.000 0.000
0.000 0.000 0.500
0.284 0.716 0.750
0.421 0.579 0.598
0.421 0.579 0.902
0.579 0.421 0.098
0.579 0.421 0.402
0.716 0.284 0.250
```


No. 20
A plane-wave DFT calculation with GGA-PBE was carried out for a geometry-optimized Pm3Pu4Ir4 structure.

Energy of formation from the pure elements ... -2.5 eV/f.u.
DOS(E_F) ... 20.7 states/eV per cell

Cell and atoms, written as POSCAR:
```
Pm3Pu4Ir4
1.0
-1.678 5.068 6.864
1.678 -5.068 6.864
1.678 5.068 -6.864
Pm Pu Ir
3 4 4
Direct
0.000 0.000 0.000
0.390 0.890 0.500
0.610 0.110 0.500
0.027 0.307 0.721
0.414 0.693 0.721
0.586 0.307 0.279
0.973 0.693 0.279
0.211 0.211 0.000
0.271 0.500 0.771
0.729 0.500 0.229
0.789 0.789 0.000
```


How do the records compare in spin magnetization? In the order shown, they have 0.06, 0.00, 0.00, 1.36, 0.00, 0.00, 0.00, 0.00, 0.00, 0.00, 0.00, 0.00, 0.00, 0.00, 0.27, 0.50, 0.00, 0.00, 0.00, 0.02 μB per atom.